Record 1
Entry from OQMD via LeMat-Bulk: DySc3Te2C2 after structural relaxation (PBE).

Lattice parameters (Å, degrees): 3.636 3.636 13.448 90.00 90.00 120.00
Fractional positions:
Dy1 0.000 0.000 0.000
Sc1 0.000 0.000 0.673
Sc2 0.667 0.333 0.187
Sc3 0.667 0.333 0.498
Te1 0.000 0.000 0.343
Te2 0.667 0.333 0.828
C1 0.333 0.667 0.099
C2 0.333 0.667 0.586

The space-group type is No. 156. The density is 6.22 g/cm³. The value obtained for the total energy is -55.08 eV for the cell shown.

Record 2
Entry from OQMD via LeMat-Bulk: DyScTeC after structural relaxation (PBE).

Lattice parameters (Å, degrees): 3.709 3.709 13.646 90.00 90.00 120.00
Fractional positions:
Dy1 0.333 0.667 0.000
Dy2 0.667 0.333 0.500
Sc1 0.333 0.667 0.317
Sc2 0.667 0.333 0.817
Te1 0.333 0.667 0.668
Te2 0.667 0.333 0.168
C1 0.000 0.000 0.404
C2 0.000 0.000 0.904

Its energy above the most stable polymorph in this dataset is 0.000 eV/atom. The space-group type is No. 186. The density is 7.09 g/cm³.